1.
VASP calculation (PBE) on a relaxed TmTh2Si3Pt12 crystal.

```
data_TmTh2Si3Pt12
_symmetry_space_group_name_H-M 'R -3 m'
_symmetry_Int_Tables_number 166
_symmetry_space_group_name_Hall '-R 3 2"'
_cell_length_a 8.2981
_cell_length_b 8.2981
_cell_length_c 18.2625
_cell_angle_alpha 90.00
_cell_angle_beta 90.00
_cell_angle_gamma 120.00
loop_
_atom_site_label
_atom_site_fract_x
_atom_site_fract_y
_atom_site_fract_z
Tm1 0.0000 0.0000 0.0000
Th1 0.0000 0.0000 0.3974
Si1 0.0000 0.5000 0.5000
Pt1 0.0305 0.5152 0.3695
Pt2 0.0301 0.5151 0.8669
```

## Properties
formation energy without anion corrections: -626 meV/atom
total energy: -6.63 eV/atom
N(E_F): 23.36 states/eV/cell
spin magnetization: 0.0 μB/cell

---

2.
VASP calculation (PBE) on a relaxed Th2USi3Pt4 crystal.

```
data_Th2USi3Pt4
_symmetry_space_group_name_H-M 'P -4 m 2'
_symmetry_Int_Tables_number 115
_symmetry_space_group_name_Hall 'P -4 -2'
_cell_length_a 4.274
_cell_length_b 4.274
_cell_length_c 10.846
_cell_angle_alpha 90.00
_cell_angle_beta 90.00
_cell_angle_gamma 90.00
loop_
_atom_site_label
_atom_site_fract_x
_atom_site_fract_y
_atom_site_fract_z
Th1 0.000 0.500 0.230
U1 0.000 0.000 0.500
Si1 0.000 0.500 0.882
Si2 0.500 0.500 0.500
Pt1 0.000 0.000 0.000
Pt2 0.000 0.500 0.662
Pt3 0.500 0.500 0.000
```

## Properties
formation energy without anion corrections: -925 meV/atom
total energy: -7.58 eV/atom
N(E_F): 9.76 states/eV/cell
spin magnetization: 2.3 μB/cell

---

3.
VASP calculation (PBE) on a relaxed Th2USi3Pt12 crystal.

```
data_Th2USi3Pt12
_symmetry_space_group_name_H-M 'R -3 m'
_symmetry_Int_Tables_number 166
_symmetry_space_group_name_Hall '-R 3 2"'
_cell_length_a 8.1169
_cell_length_b 8.1169
_cell_length_c 19.3907
_cell_angle_alpha 90.00
_cell_angle_beta 90.00
_cell_angle_gamma 120.00
loop_
_atom_site_label
_atom_site_fract_x
_atom_site_fract_y
_atom_site_fract_z
Th1 0.0000 0.0000 0.1034
U1 0.0000 0.0000 0.5000
Si1 0.0000 0.5000 0.0000
Pt1 0.0261 0.5131 0.8738
Pt2 0.0283 0.5142 0.3680
```

## Properties
formation energy without anion corrections: -572 meV/atom
total energy: -6.96 eV/atom
N(E_F): 29.01 states/eV/cell
spin magnetization: 1.6 μB/cell

---

4.
VASP calculation (PBE) on a relaxed YTh2Si3Pt4 crystal.

```
data_YTh2Si3Pt4
_symmetry_space_group_name_H-M 'P -4 m 2'
_symmetry_Int_Tables_number 115
_symmetry_space_group_name_Hall 'P -4 -2'
_cell_length_a 4.230
_cell_length_b 4.230
_cell_length_c 11.115
_cell_angle_alpha 90.00
_cell_angle_beta 90.00
_cell_angle_gamma 90.00
loop_
_atom_site_label
_atom_site_fract_x
_atom_site_fract_y
_atom_site_fract_z
Y1 0.000 0.000 0.000
Th1 0.000 0.500 0.724
Si1 0.000 0.500 0.380
Si2 0.500 0.500 0.000
Pt1 0.000 0.000 0.500
Pt2 0.000 0.500 0.164
Pt3 0.500 0.500 0.500
```

## Properties
formation energy without anion corrections: -1051 meV/atom
total energy: -7.22 eV/atom
N(E_F): 7.05 states/eV/cell
spin magnetization: 0.0 μB/cell

---

5.
VASP calculation (PBE) on a relaxed Th2ZnSiPt6 crystal.

```
data_Th2ZnSiPt6
_symmetry_space_group_name_H-M 'P m m n'
_symmetry_Int_Tables_number 59
_cell_length_a 5.535
_cell_length_b 8.685
_cell_length_c 8.306
_cell_angle_alpha 90.00
_cell_angle_beta 90.00
_cell_angle_gamma 90.00
loop_
_symmetry_equiv_pos_as_xyz
'x,y,z'
'-x,-y,-z'
'-x+1/2,-y+1/2,z'
'x+1/2,y+1/2,-z'
'x+1/2,-y,-z'
'-x+1/2,y,z'
'-x,y+1/2,-z'
'x,-y+1/2,z'
loop_
_atom_site_label
_atom_site_fract_x
_atom_site_fract_y
_atom_site_fract_z
Th1 0.250 0.007 0.231
Zn1 0.250 0.750 0.778
Si1 0.250 0.250 0.739
Pt1 0.001 0.250 0.487
Pt2 0.001 0.750 0.030
Pt3 0.250 0.002 0.611
```

## Properties
formation energy without anion corrections: -937 meV/atom
total energy: -6.72 eV/atom
N(E_F): 11.81 states/eV/cell
spin magnetization: 0.0 μB/cell

---

6.
VASP calculation (PBE) on a relaxed ThZn2SiPt4 crystal.

```
data_ThZn2SiPt4
_symmetry_space_group_name_H-M 'R -3 m'
_symmetry_Int_Tables_number 166
_symmetry_space_group_name_Hall '-R 3 2"'
_cell_length_a 4.3286
_cell_length_b 4.3286
_cell_length_c 25.6616
_cell_angle_alpha 90.00
_cell_angle_beta 90.00
_cell_angle_gamma 120.00
loop_
_atom_site_label
_atom_site_fract_x
_atom_site_fract_y
_atom_site_fract_z
Th1 0.0000 0.0000 0.0000
Zn1 0.0000 0.0000 0.2450
Si1 0.0000 0.0000 0.5000
Pt1 0.0000 0.0000 0.1369
Pt2 0.0000 0.0000 0.4032
```

## Properties
formation energy without anion corrections: -779 meV/atom
total energy: -5.72 eV/atom
N(E_F): 8.75 states/eV/cell
spin magnetization: 0.0 μB/cell

---

7.
VASP calculation (PBE) on a relaxed ThZnSi2Pt5 crystal.

```
data_ThZnSi2Pt5
_symmetry_space_group_name_H-M 'P 4/m m m'
_symmetry_Int_Tables_number 123
_symmetry_space_group_name_Hall '-P 4 2'
_cell_length_a 4.087
_cell_length_b 4.087
_cell_length_c 10.361
_cell_angle_alpha 90.00
_cell_angle_beta 90.00
_cell_angle_gamma 90.00
loop_
_atom_site_label
_atom_site_fract_x
_atom_site_fract_y
_atom_site_fract_z
Th1 0.000 0.000 0.000
Zn1 0.000 0.000 0.500
Si1 0.500 0.500 0.227
Pt1 0.000 0.500 0.342
Pt2 0.500 0.500 0.000
```

## Properties
formation energy without anion corrections: -700 meV/atom
total energy: -6.23 eV/atom
N(E_F): 3.71 states/eV/cell
spin magnetization: 0.0 μB/cell

---

8.
VASP calculation (PBE) on a relaxed Th2ZnSi3Pt4 crystal.

```
data_Th2ZnSi3Pt4
_symmetry_space_group_name_H-M 'P -4 m 2'
_symmetry_Int_Tables_number 115
_symmetry_space_group_name_Hall 'P -4 -2'
_cell_length_a 4.278
_cell_length_b 4.278
_cell_length_c 10.026
_cell_angle_alpha 90.00
_cell_angle_beta 90.00
_cell_angle_gamma 90.00
loop_
_atom_site_label
_atom_site_fract_x
_atom_site_fract_y
_atom_site_fract_z
Th1 0.000 0.500 0.249
Zn1 0.000 0.000 0.500
Si1 0.000 0.500 0.871
Si2 0.500 0.500 0.500
Pt1 0.000 0.000 0.000
Pt2 0.000 0.500 0.633
Pt3 0.500 0.500 0.000
```

## Properties
formation energy without anion corrections: -1060 meV/atom
total energy: -6.72 eV/atom
N(E_F): 6.32 states/eV/cell
spin magnetization: 0.0 μB/cell

---

What is the total energy in the first record? -6.63 eV/atom